Entry 1:
Compound: BaHg12Pd4
Source: Alexandria via LeMat-Bulk
Functional: PBE-GGA
Structure: relaxed

Cell and atoms, written as CIF:
```
data_BaHg12Pd4
_chemical_formula_sum 'Ba2 Hg24 Pd8'
_cell_length_a 9.734
_cell_length_b 9.734
_cell_length_c 9.734
_cell_angle_alpha 90.00
_cell_angle_beta 90.00
_cell_angle_gamma 90.00
_symmetry_space_group_name_H-M 'I m -3'
_symmetry_Int_Tables_number 204
_symmetry_space_group_name_Hall '-I 2 2 3'
loop_
_atom_site_label
_atom_site_type_symbol
_atom_site_fract_x
_atom_site_fract_y
_atom_site_fract_z
Ba1 Ba 0.000 0.000 0.000
Hg1 Hg 0.000 0.345 0.162
Pd1 Pd 0.250 0.250 0.250
```

Summary:
Size of the total moment (μB/cell): 0.00
E_tot (eV/atom): -1.64
Formation energy from the elements (meV per atom): -95


Entry 2:
Compound: Ba4Hg2Pd
Source: Alexandria via LeMat-Bulk
Functional: PBE-GGA
Structure: relaxed

Cell and atoms, written as CIF:
```
data_Ba4Hg2Pd
_chemical_formula_sum 'Ba8 Hg4 Pd2'
_cell_length_a 17.237
_cell_length_b 4.995
_cell_length_c 7.195
_cell_angle_alpha 90.00
_cell_angle_beta 104.50
_cell_angle_gamma 90.00
_symmetry_space_group_name_H-M 'C 1 2/m 1'
_symmetry_Int_Tables_number 12
loop_
_symmetry_equiv_pos_as_xyz
'x,y,z'
'-x,-y,-z'
'-x,y,-z'
'x,-y,z'
'x+1/2,y+1/2,z'
'-x+1/2,-y+1/2,-z'
'-x+1/2,y+1/2,-z'
'x+1/2,-y+1/2,z'
loop_
_atom_site_label
_atom_site_type_symbol
_atom_site_fract_x
_atom_site_fract_y
_atom_site_fract_z
Ba1 Ba 0.082 0.000 0.269
Ba2 Ba 0.151 0.500 0.820
Hg1 Hg 0.236 0.500 0.352
Pd1 Pd 0.000 0.500 0.000
```

Summary:
Size of the total moment (μB/cell): 0.00
E_tot (eV/atom): -2.35
Formation energy from the elements (meV per atom): -426
Energy relative to the lowest polymorph listed for this composition (meV per atom): 0


- Which of these has the highest formation energy from the elements?
  BaHg12Pd4


- What is the size of the total moment in the first record?
  0.00 μB/cell


- Which of these has the lowest formation energy from the elements?
  Ba4Hg2Pd


What did the first record say?
Compound: BaHg12Pd4
Source: Alexandria via LeMat-Bulk
Functional: PBE-GGA
Structure: relaxed

Cell and atoms, written as CIF:
```
data_BaHg12Pd4
_chemical_formula_sum 'Ba2 Hg24 Pd8'
_cell_length_a 9.734
_cell_length_b 9.734
_cell_length_c 9.734
_cell_angle_alpha 90.00
_cell_angle_beta 90.00
_cell_angle_gamma 90.00
_symmetry_space_group_name_H-M 'I m -3'
_symmetry_Int_Tables_number 204
_symmetry_space_group_name_Hall '-I 2 2 3'
loop_
_atom_site_label
_atom_site_type_symbol
_atom_site_fract_x
_atom_site_fract_y
_atom_site_fract_z
Ba1 Ba 0.000 0.000 0.000
Hg1 Hg 0.000 0.345 0.162
Pd1 Pd 0.250 0.250 0.250
```

Summary:
Size of the total moment (μB/cell): 0.00
E_tot (eV/atom): -1.64
Formation energy from the elements (meV per atom): -95